The following is a PBE-GGA calculation of a relaxed structure of K2HgPb, from Alexandria via LeMat-Bulk. Values from VASP.

## Properties
symmetry: P2/m, No. 10
uncorrected energy: -1.608 eV/atom
DOS(E_F): 2.4 states/eV/cell
spin magnetization: 0.0 μB per formula unit
DFT formation energy: -0.06 eV/atom

Structure (Quantum ESPRESSO input):
```
&SYSTEM
  ibrav = 0, nat = 4, ntyp = 3
/
ATOMIC_SPECIES
K 39.10 K.upf
Hg 200.59 Hg.upf
Pb 207.20 Pb.upf
ATOMIC_POSITIONS crystal
K 0.000 0.000 0.000
K 0.500 0.500 0.000
Hg 0.000 0.500 0.500
Pb 0.500 0.000 0.500
CELL_PARAMETERS angstrom
5.262 0.000 0.000
0.000 4.806 0.000
-0.011 0.000 5.597
```


The following is a PBE-GGA calculation of a relaxed structure of PmPuHgPb, from Alexandria via LeMat-Bulk. Values from VASP.

## Properties
symmetry: F-43m, No. 216
offset from the most stable computed form: 0.00 eV per formula unit
uncorrected energy: -6.074 eV/atom
DOS(E_F): 43.0 states/eV/cell
spin magnetization: 6.8 μB per formula unit
DFT formation energy: -0.30 eV/atom

Structure (Quantum ESPRESSO input):
```
&SYSTEM
  ibrav = 0, nat = 16, ntyp = 4
/
ATOMIC_SPECIES
Pm 145.00 Pm.upf
Pu 244.00 Pu.upf
Hg 200.59 Hg.upf
Pb 207.20 Pb.upf
ATOMIC_POSITIONS crystal
Pm 0.000 0.000 0.000
Pm 0.000 0.500 0.500
Pm 0.500 0.000 0.500
Pm 0.500 0.500 0.000
Pu 0.000 0.000 0.500
Pu 0.000 0.500 0.000
Pu 0.500 0.000 0.000
Pu 0.500 0.500 0.500
Hg 0.250 0.250 0.250
Hg 0.250 0.750 0.750
Hg 0.750 0.250 0.750
Hg 0.750 0.750 0.250
Pb 0.250 0.250 0.750
Pb 0.250 0.750 0.250
Pb 0.750 0.250 0.250
Pb 0.750 0.750 0.750
CELL_PARAMETERS angstrom
7.696 0.000 0.000
0.000 7.696 0.000
0.000 0.000 7.696
```


The following is a PBE-GGA calculation of a relaxed structure of TaVNiIr, from Alexandria via LeMat-Bulk. Values from VASP.

## Properties
symmetry: Pmmm, No. 47
uncorrected energy: -9.300 eV/atom
DOS(E_F): 2.4 states/eV/cell
spin magnetization: 0.0 μB per formula unit
DFT formation energy: -0.40 eV/atom

Structure (Quantum ESPRESSO input):
```
&SYSTEM
  ibrav = 0, nat = 4, ntyp = 4
/
ATOMIC_SPECIES
Ta 180.95 Ta.upf
V 50.94 V.upf
Ni 58.69 Ni.upf
Ir 192.22 Ir.upf
ATOMIC_POSITIONS crystal
Ta 0.000 0.000 0.000
V 0.500 0.000 0.500
Ni 0.500 0.500 0.000
Ir 0.000 0.500 0.500
CELL_PARAMETERS angstrom
3.779 0.000 0.000
0.000 3.850 0.000
0.000 0.000 3.883
```


The following is a PBE-GGA calculation of a relaxed structure of LaTcIN2, from Alexandria via LeMat-Bulk. Values from VASP.

## Properties
symmetry: P4/mmm, No. 123
offset from the most stable computed form: 4.88 eV per formula unit
uncorrected energy: -5.461 eV/atom
energy relative to the elements, uncorrected: 1238 meV/atom
DOS(E_F): 3.6 states/eV/cell
spin magnetization: 4.7 μB per formula unit

Structure (Quantum ESPRESSO input):
```
&SYSTEM
  ibrav = 0, nat = 5, ntyp = 4
/
ATOMIC_SPECIES
La 138.91 La.upf
Tc 98.00 Tc.upf
I 126.90 I.upf
N 14.01 N.upf
ATOMIC_POSITIONS crystal
La 0.000 0.000 0.000
Tc 0.500 0.500 0.500
I 0.000 0.000 0.500
N 0.000 0.500 0.000
N 0.500 0.000 0.000
CELL_PARAMETERS angstrom
4.348 0.000 0.000
0.000 4.348 0.000
0.000 0.000 6.605
```


The following is a PBE-GGA calculation of a relaxed structure of CsBeAsBr2, from Alexandria via LeMat-Bulk. Values from VASP.

## Properties
symmetry: P4/mmm, No. 123
uncorrected energy: -2.964 eV/atom
energy relative to the elements, uncorrected: -449 meV/atom
DOS(E_F): 2.0 states/eV/cell
spin magnetization: 1.7 μB per formula unit

Structure (Quantum ESPRESSO input):
```
&SYSTEM
  ibrav = 0, nat = 5, ntyp = 4
/
ATOMIC_SPECIES
Cs 132.91 Cs.upf
Be 9.01 Be.upf
As 74.92 As.upf
Br 79.90 Br.upf
ATOMIC_POSITIONS crystal
Cs 0.000 0.000 0.000
Be 0.500 0.500 0.500
As 0.500 0.500 0.000
Br 0.000 0.500 0.500
Br 0.500 0.000 0.500
CELL_PARAMETERS angstrom
5.735 0.000 0.000
0.000 5.735 0.000
0.000 0.000 4.448
```


The following is a PBE-GGA calculation of a relaxed structure of CeU2P3, from Alexandria via LeMat-Bulk. Values from VASP.

## Properties
symmetry: Pmc2_1, No. 26
offset from the most stable computed form: 1.50 eV per formula unit
uncorrected energy: -8.327 eV/atom
DOS(E_F): 21.4 states/eV/cell
spin magnetization: 0.5 μB per formula unit
DFT formation energy: -0.87 eV/atom

Structure (Quantum ESPRESSO input):
```
&SYSTEM
  ibrav = 0, nat = 12, ntyp = 3
/
ATOMIC_SPECIES
Ce 140.12 Ce.upf
U 238.03 U.upf
P 30.97 P.upf
ATOMIC_POSITIONS crystal
Ce 0.000 0.098 0.000
Ce 0.000 0.902 0.500
U 0.000 0.296 0.516
U 0.000 0.704 0.016
U 0.500 0.472 0.640
U 0.500 0.528 0.140
P 0.000 0.410 0.896
P 0.000 0.590 0.396
P 0.500 0.115 0.705
P 0.500 0.195 0.269
P 0.500 0.805 0.769
P 0.500 0.885 0.205
CELL_PARAMETERS angstrom
3.789 0.000 0.000
0.000 8.552 0.000
0.000 0.000 7.477
```


The following is a PBE-GGA calculation of a relaxed structure of CsLiGeS3, from Alexandria via LeMat-Bulk. Values from VASP.

## Properties
symmetry: C2/m, No. 12
uncorrected energy: -4.124 eV/atom
energy relative to the elements, uncorrected: -830 meV/atom
DOS(E_F): 0.0 states/eV/cell
spin magnetization: 0.0 μB per formula unit

Structure (Quantum ESPRESSO input):
```
&SYSTEM
  ibrav = 0, nat = 12, ntyp = 4
/
ATOMIC_SPECIES
Cs 132.91 Cs.upf
Li 6.94 Li.upf
Ge 72.64 Ge.upf
S 32.06 S.upf
ATOMIC_POSITIONS crystal
Cs 0.227 0.227 0.142
Cs 0.773 0.773 0.858
Li 0.186 0.814 0.500
Li 0.814 0.186 0.500
Ge 0.361 0.361 0.708
Ge 0.639 0.639 0.292
S 0.183 0.183 0.719
S 0.232 0.682 0.723
S 0.318 0.768 0.277
S 0.682 0.232 0.723
S 0.768 0.318 0.277
S 0.817 0.817 0.281
CELL_PARAMETERS angstrom
5.895 -4.111 0.000
5.895 4.111 0.000
-4.979 0.000 7.614
```


The following is a PBE-GGA calculation of a relaxed structure of DyErAlRh, from Alexandria via LeMat-Bulk. Values from VASP.

## Properties
symmetry: F-43m, No. 216
uncorrected energy: -5.641 eV/atom
DOS(E_F): 11.4 states/eV/cell
spin magnetization: 0.0 μB per formula unit
DFT formation energy: -0.58 eV/atom

Structure (Quantum ESPRESSO input):
```
&SYSTEM
  ibrav = 0, nat = 16, ntyp = 4
/
ATOMIC_SPECIES
Dy 162.50 Dy.upf
Er 167.26 Er.upf
Al 26.98 Al.upf
Rh 102.91 Rh.upf
ATOMIC_POSITIONS crystal
Dy 0.000 0.000 0.000
Dy 0.000 0.500 0.500
Dy 0.500 0.000 0.500
Dy 0.500 0.500 0.000
Er 0.000 0.000 0.500
Er 0.000 0.500 0.000
Er 0.500 0.000 0.000
Er 0.500 0.500 0.500
Al 0.250 0.250 0.250
Al 0.250 0.750 0.750
Al 0.750 0.250 0.750
Al 0.750 0.750 0.250
Rh 0.250 0.250 0.750
Rh 0.250 0.750 0.250
Rh 0.750 0.250 0.250
Rh 0.750 0.750 0.750
CELL_PARAMETERS angstrom
7.028 0.000 0.000
0.000 7.028 0.000
0.000 0.000 7.028
```


The following is a PBE-GGA calculation of a relaxed structure of KCa2Co, from Alexandria via LeMat-Bulk. Values from VASP.

## Properties
symmetry: P4/mmm, No. 123
offset from the most stable computed form: 0.00 eV per formula unit
uncorrected energy: -2.761 eV/atom
DOS(E_F): 6.6 states/eV/cell
spin magnetization: 0.7 μB per formula unit
DFT formation energy: 0.29 eV/atom

Structure (Quantum ESPRESSO input):
```
&SYSTEM
  ibrav = 0, nat = 4, ntyp = 3
/
ATOMIC_SPECIES
K 39.10 K.upf
Ca 40.08 Ca.upf
Co 58.93 Co.upf
ATOMIC_POSITIONS crystal
K 0.000 0.000 0.000
Ca 0.500 0.500 0.346
Ca 0.500 0.500 0.654
Co 0.000 0.000 0.500
CELL_PARAMETERS angstrom
3.610 0.000 0.000
0.000 3.610 0.000
0.000 0.000 10.481
```


The following is a PBE-GGA calculation of a relaxed structure of Th2Co9Cu, from Alexandria via LeMat-Bulk. Values from VASP.

## Properties
symmetry: R-3m, No. 166
uncorrected energy: -6.859 eV/atom
DOS(E_F): 17.9 states/eV/cell
spin magnetization: 10.0 μB per formula unit
DFT formation energy: 0.05 eV/atom

Structure (Quantum ESPRESSO input):
```
&SYSTEM
  ibrav = 0, nat = 12, ntyp = 3
/
ATOMIC_SPECIES
Th 232.04 Th.upf
Co 58.93 Co.upf
Cu 63.55 Cu.upf
ATOMIC_POSITIONS crystal
Th 0.132 0.132 0.132
Th 0.868 0.868 0.868
Co 0.079 0.579 0.579
Co 0.334 0.334 0.334
Co 0.421 0.421 0.921
Co 0.421 0.921 0.421
Co 0.500 0.500 0.500
Co 0.579 0.079 0.579
Co 0.579 0.579 0.079
Co 0.666 0.666 0.666
Co 0.921 0.421 0.421
Cu 0.000 0.000 0.000
CELL_PARAMETERS angstrom
2.457 1.419 8.218
-2.457 1.419 8.218
0.000 -2.837 8.218
```


The following is a PBE-GGA calculation of a relaxed structure of SrTl2Os, from Alexandria via LeMat-Bulk. Values from VASP.

## Properties
symmetry: F-43m, No. 216
uncorrected energy: -3.691 eV/atom
DOS(E_F): 18.3 states/eV/cell
spin magnetization: 1.2 μB per formula unit
DFT formation energy: 0.72 eV/atom

Structure (Quantum ESPRESSO input):
```
&SYSTEM
  ibrav = 0, nat = 16, ntyp = 3
/
ATOMIC_SPECIES
Sr 87.62 Sr.upf
Tl 204.38 Tl.upf
Os 190.23 Os.upf
ATOMIC_POSITIONS crystal
Sr 0.000 0.000 0.000
Sr 0.000 0.500 0.500
Sr 0.500 0.000 0.500
Sr 0.500 0.500 0.000
Tl 0.000 0.000 0.500
Tl 0.000 0.500 0.000
Tl 0.250 0.250 0.750
Tl 0.250 0.750 0.250
Tl 0.500 0.000 0.000
Tl 0.500 0.500 0.500
Tl 0.750 0.250 0.250
Tl 0.750 0.750 0.750
Os 0.250 0.250 0.250
Os 0.250 0.750 0.750
Os 0.750 0.250 0.750
Os 0.750 0.750 0.250
CELL_PARAMETERS angstrom
7.391 0.000 0.000
0.000 7.391 0.000
0.000 0.000 7.391
```


The following is a PBE-GGA calculation of a relaxed structure of NdZnNi5, from Alexandria via LeMat-Bulk. Values from VASP.

## Properties
symmetry: Pnma, No. 62
uncorrected energy: -5.251 eV/atom
DOS(E_F): 38.2 states/eV/cell
spin magnetization: 0.5 μB per formula unit
DFT formation energy: -0.26 eV/atom

Structure (Quantum ESPRESSO input):
```
&SYSTEM
  ibrav = 0, nat = 28, ntyp = 3
/
ATOMIC_SPECIES
Nd 144.24 Nd.upf
Zn 65.41 Zn.upf
Ni 58.69 Ni.upf
ATOMIC_POSITIONS crystal
Nd 0.243 0.250 0.059
Nd 0.257 0.750 0.559
Nd 0.743 0.250 0.441
Nd 0.757 0.750 0.941
Zn 0.143 0.750 0.858
Zn 0.357 0.250 0.358
Zn 0.643 0.750 0.642
Zn 0.857 0.250 0.142
Ni 0.054 0.750 0.101
Ni 0.066 0.003 0.309
Ni 0.066 0.497 0.309
Ni 0.094 0.250 0.517
Ni 0.186 0.250 0.750
Ni 0.314 0.750 0.250
Ni 0.406 0.750 0.017
Ni 0.434 0.503 0.809
Ni 0.434 0.997 0.809
Ni 0.446 0.250 0.601
Ni 0.554 0.750 0.399
Ni 0.566 0.003 0.191
Ni 0.566 0.497 0.191
Ni 0.594 0.250 0.983
Ni 0.686 0.250 0.750
Ni 0.814 0.750 0.250
Ni 0.906 0.750 0.483
Ni 0.934 0.503 0.691
Ni 0.934 0.997 0.691
Ni 0.946 0.250 0.899
CELL_PARAMETERS angstrom
7.983 0.000 0.000
0.000 4.873 0.000
0.000 0.000 10.087
```


- Which of these has the lowest uncorrected energy?
  TaVNiIr